# 1
First-principles (PBE-GGA) data for a geometry-optimized Tm2Co17 structure, as listed in OQMD via LeMat-Bulk.

Output
Spin magnetization, μB per atom: 0.006
E above lowest polymorph, meV per atom: 175

Cell: 8.213 8.213 8.024 Å, 90.00 90.00 120.00°
Site moments in Bohr magnetons follow the coordinates.
Atoms (fractional coordinates):
Co1 0.166 0.834 0.524  0.01
Co2 0.834 0.667 0.024  0.03
Tm1 0.667 0.333 0.250  -0.01
Co3 0.672 0.627 0.750  -0.02
Co4 0.045 0.672 0.250  -0.03
Co5 0.672 0.045 0.750  -0.01
Co6 0.500 0.000 0.000  0.06
Co7 0.667 0.333 0.606  0.01
Co8 0.955 0.328 0.750  -0.03
Co9 0.328 0.373 0.250  -0.02
Co10 0.373 0.045 0.750  -0.01
Co11 0.500 0.500 0.500  0.04
Co12 0.667 0.834 0.976  0.01
Tm2 0.333 0.667 0.750  -0.01
Co13 0.955 0.627 0.750  -0.02
Co14 0.333 0.667 0.394  0.01
Co15 0.045 0.373 0.250  -0.02
Co16 0.834 0.667 0.476  0.02
Co17 0.166 0.333 0.976  0.03
Co18 0.328 0.955 0.250  -0.01
Co19 0.834 0.166 0.024  0.01
Co20 0.166 0.834 0.976  0.01
Co21 0.333 0.166 0.024  0.01
Co22 0.627 0.672 0.250  -0.02
Co23 0.667 0.333 0.894  0.01
Co24 0.667 0.834 0.524  0.02
Tm3 0.000 0.000 0.250  0.00
Co25 0.000 0.500 0.000  0.04
Co26 0.373 0.328 0.750  -0.02
Co27 0.500 0.000 0.500  0.05
Co28 0.000 0.500 0.500  0.04
Co29 0.834 0.166 0.476  0.01
Co30 0.333 0.166 0.476  0.02
Tm4 0.000 0.000 0.750  0.00
Co31 0.333 0.667 0.106  0.01
Co32 0.500 0.500 0.000  0.04
Co33 0.627 0.955 0.250  -0.01
Co34 0.166 0.333 0.524  0.02

# 2
First-principles (PBE-GGA) data for a geometry-optimized NdH2I structure, as listed in OQMD via LeMat-Bulk.

Output
Uncorrected energy, eV/cell: -33.272
Spin magnetization, μB per atom: 0.000

Cell: 11.445 11.445 11.445 Å, 20.14 20.14 20.14°
Atoms (fractional coordinates):
H1 0.545 0.545 0.545
H2 0.187 0.187 0.187
I1 0.718 0.718 0.718
H3 0.455 0.455 0.455
H4 0.813 0.813 0.813
I2 0.282 0.282 0.282
Nd1 0.883 0.883 0.883
Nd2 0.117 0.117 0.117

# 3
First-principles (PBE-GGA) data for a geometry-optimized PmHgSeO structure, as listed in OQMD via LeMat-Bulk.

Output
Spin magnetization, μB per atom: 0.126
E above lowest polymorph, meV per atom: 104

Cell: 4.104 4.104 10.107 Å, 90.00 90.00 90.00°
Atoms (fractional coordinates):
Pm1 0.750 0.750 0.889
Se1 0.250 0.250 0.737
O1 0.750 0.250 0.000
Se2 0.750 0.750 0.263
Pm2 0.250 0.250 0.111
Hg1 0.750 0.250 0.500
Hg2 0.250 0.750 0.500
O2 0.250 0.750 0.000

# 4
First-principles (PBE-GGA) data for a geometry-optimized NaMgIrW structure, as listed in OQMD via LeMat-Bulk.

Output
Spin magnetization, μB per atom: 0.000
E above lowest polymorph, meV per atom: 0

Cell: 4.488 4.488 4.488 Å, 60.00 60.00 60.00°
Atoms (fractional coordinates):
W1 0.250 0.250 0.250
Ir1 0.000 0.000 0.000
Mg1 0.750 0.750 0.750
Na1 0.500 0.500 0.500

# 5
First-principles (PBE-GGA) data for a geometry-optimized DyUNb structure, as listed in OQMD via LeMat-Bulk.

Output
Spin magnetization, μB per atom: 0.550
E above lowest polymorph, meV per atom: 0

Cell: 4.795 4.795 4.795 Å, 60.00 60.00 60.00°
Site moments in Bohr magnetons follow the coordinates.
Atoms (fractional coordinates):
Dy1 0.500 0.500 0.500  0.07
U1 0.000 0.000 0.000  1.65
Nb1 0.250 0.250 0.250  -0.27

# 6
First-principles (PBE-GGA) data for a geometry-optimized CuReAgSn structure, as listed in OQMD via LeMat-Bulk.

Output
Spin magnetization, μB per atom: 0.082
E above lowest polymorph, meV per atom: 0

Cell: 4.545 4.545 4.545 Å, 60.00 60.00 60.00°
Atoms (fractional coordinates):
Sn1 0.000 0.000 0.000
Cu1 0.750 0.750 0.750
Ag1 0.500 0.500 0.500
Re1 0.250 0.250 0.250

# 7
First-principles (PBE-GGA) data for a geometry-optimized CsAgTeOsSe2 structure, as listed in OQMD via LeMat-Bulk.

Output
Uncorrected energy, eV/cell: -51.816
Spin magnetization, μB per atom: 0.006

Cell: 8.720 8.720 10.370 Å, 90.00 90.00 154.14°
Atoms (fractional coordinates):
Os1 0.500 0.500 0.000
Cs1 0.266 0.734 0.250
Ag1 0.949 0.051 0.250
Ag2 0.051 0.949 0.750
Se1 0.097 0.903 0.519
Te1 0.432 0.568 0.750
Se2 0.903 0.097 0.481
Se3 0.903 0.097 0.019
Te2 0.568 0.432 0.250
Cs2 0.734 0.266 0.750
Os2 0.500 0.500 0.500
Se4 0.097 0.903 0.981

# 8
First-principles (PBE-GGA) data for a geometry-optimized CuReNiGe structure, as listed in OQMD via LeMat-Bulk.

Output
Spin magnetization, μB per atom: 0.136
E above lowest polymorph, meV per atom: 0

Cell: 4.211 4.211 4.211 Å, 60.00 60.00 60.00°
Atoms (fractional coordinates):
Ge1 0.000 0.000 0.000
Ni1 0.500 0.500 0.500
Re1 0.250 0.250 0.250
Cu1 0.750 0.750 0.750

# 9
First-principles (PBE-GGA) data for a geometry-optimized RbZnCl3 structure, as listed in OQMD via LeMat-Bulk.

Output
Uncorrected energy, eV/cell: -45.000

Cell: 9.831 9.831 9.831 Å, 42.22 42.22 42.22°
Atoms (fractional coordinates):
Zn1 0.385 0.385 0.385
Cl1 0.239 0.716 0.716
Cl2 0.284 0.761 0.284
Zn2 0.500 0.500 0.500
Cl3 0.761 0.284 0.284
Cl4 0.000 0.500 0.500
Rb1 0.220 0.220 0.220
Cl5 0.500 0.000 0.500
Cl6 0.500 0.500 0.000
Cl7 0.716 0.716 0.239
Rb2 0.000 0.000 0.000
Cl8 0.284 0.284 0.761
Zn3 0.615 0.615 0.615
Cl9 0.716 0.239 0.716
Rb3 0.780 0.780 0.780

# 10
First-principles (PBE-GGA) data for a geometry-optimized UCuAs structure, as listed in OQMD via LeMat-Bulk.

Output
Uncorrected energy, eV/cell: -19.201
Spin magnetization, μB per atom: 0.666

Cell: 4.586 4.586 4.586 Å, 60.00 60.00 60.00°
Site moments in Bohr magnetons follow the coordinates.
Atoms (fractional coordinates):
U1 0.250 0.250 0.250  1.90
Cu1 0.500 0.500 0.500  -0.01
As1 0.000 0.000 0.000  -0.06

# 11
First-principles (PBE-GGA) data for a geometry-optimized SrSmGe2 structure, as listed in OQMD via LeMat-Bulk.

Output
Uncorrected energy, eV/cell: -15.303
Spin magnetization, μB per atom: 0.024

Cell: 3.449 6.747 6.747 Å, 53.17 90.00 90.00°
Atoms (fractional coordinates):
Ge1 0.000 0.403 0.403
Ge2 0.000 0.607 0.607
Sr1 0.000 0.149 0.149
Sm1 0.000 0.841 0.841

# 12
First-principles (PBE-GGA) data for a geometry-optimized Ba3Gd4O9 structure, as listed in OQMD via LeMat-Bulk.

Output
Uncorrected energy, eV/cell: -118.944
Spin magnetization, μB per atom: 0.001

Cell: 9.243 9.243 9.243 Å, 38.82 38.82 38.82°
Atoms (fractional coordinates):
Gd1 0.306 0.306 0.306
O1 0.131 0.577 0.726
Ba1 0.589 0.589 0.589
Ba2 0.171 0.171 0.171
Gd2 0.432 0.432 0.432
Gd3 0.871 0.871 0.871
O2 0.589 0.161 0.015
Gd4 0.745 0.745 0.745
O3 0.046 0.454 0.596
O4 0.015 0.589 0.161
O5 0.454 0.596 0.046
Ba3 0.006 0.006 0.006
O6 0.726 0.131 0.577
O7 0.596 0.046 0.454
O8 0.577 0.726 0.131
O9 0.161 0.015 0.589

# 13
First-principles (PBE-GGA) data for a geometry-optimized HfMoCSe structure, as listed in OQMD via LeMat-Bulk.

Output
Uncorrected energy, eV/cell: -71.874
Spin magnetization, μB per atom: 0.000

Cell: 3.379 3.379 12.091 Å, 90.00 90.00 120.00°
Atoms (fractional coordinates):
Hf1 0.333 0.667 0.162
Mo1 0.667 0.333 0.340
Hf2 0.333 0.667 0.838
Se1 0.667 0.333 0.000
Mo2 0.667 0.333 0.660
Se2 0.333 0.667 0.500
C1 0.000 0.000 0.258
C2 0.000 0.000 0.742

# 14
First-principles (PBE-GGA) data for a geometry-optimized Tl2FeGe structure, as listed in OQMD via LeMat-Bulk.

Output
Uncorrected energy, eV/cell: -14.960
Spin magnetization, μB per atom: 0.699

Cell: 4.934 4.934 4.934 Å, 60.00 60.00 60.00°
Atoms (fractional coordinates):
Tl1 0.000 0.000 0.000
Ge1 0.500 0.500 0.500
Fe1 0.250 0.250 0.250
Tl2 0.750 0.750 0.750

# 15
First-principles (PBE-GGA) data for a geometry-optimized Cu4Ag structure, as listed in OQMD via LeMat-Bulk.

Output
E above lowest polymorph, meV per atom: 22

Cell: 5.923 3.712 5.926 Å, 90.00 90.33 90.00°
Atoms (fractional coordinates):
Cu1 0.216 0.000 0.394
Ag1 0.896 0.500 0.292
Cu2 0.000 0.000 0.000
Cu3 0.312 0.500 0.106
Cu4 0.784 0.000 0.606
Cu5 0.688 0.500 0.894
Ag2 0.104 0.500 0.708
Cu6 0.410 0.000 0.805
Cu7 0.500 0.500 0.500
Cu8 0.590 0.000 0.195

# 16
First-principles (PBE-GGA) data for a geometry-optimized SrBeSiPt structure, as listed in OQMD via LeMat-Bulk.

Output
Spin magnetization, μB per atom: 0.000
E above lowest polymorph, meV per atom: 0

Cell: 4.591 4.591 4.591 Å, 60.00 60.00 60.00°
Atoms (fractional coordinates):
Pt1 0.000 0.000 0.000
Si1 0.250 0.250 0.250
Be1 0.750 0.750 0.750
Sr1 0.500 0.500 0.500

# 17
First-principles (PBE-GGA) data for a geometry-optimized PrCu3P2 structure, as listed in OQMD via LeMat-Bulk.

Output
Uncorrected energy, eV/cell: -30.068
Spin magnetization, μB per atom: 0.000

Cell: 4.030 4.030 6.719 Å, 90.00 90.00 120.00°
Atoms (fractional coordinates):
Cu1 0.333 0.667 0.347
P1 0.667 0.333 0.269
Cu2 0.667 0.333 0.653
Pr1 0.000 0.000 0.000
P2 0.333 0.667 0.731
Cu3 0.000 0.000 0.500

# 18
First-principles (PBE-GGA) data for a geometry-optimized NaErTe3Au structure, as listed in OQMD via LeMat-Bulk.

Output
Uncorrected energy, eV/cell: -47.144
Spin magnetization, μB per atom: 0.002

Cell: 7.942 7.942 11.109 Å, 90.00 90.00 149.75°
Atoms (fractional coordinates):
Te1 0.641 0.359 0.555
Te2 0.093 0.907 0.250
Au1 0.530 0.470 0.750
Na1 0.226 0.774 0.750
Te3 0.359 0.641 0.445
Te4 0.907 0.093 0.750
Te5 0.359 0.641 0.055
Au2 0.470 0.530 0.250
Te6 0.641 0.359 0.945
Na2 0.774 0.226 0.250
Er1 0.000 0.000 0.000
Er2 0.000 0.000 0.500

# 19
First-principles (PBE-GGA) data for a geometry-optimized CsKHgO2 structure, as listed in OQMD via LeMat-Bulk.

Output
Uncorrected energy, eV/cell: -17.193

Cell: 7.791 7.791 7.791 Å, 149.07 149.07 44.30°
Atoms (fractional coordinates):
Cs1 0.668 0.668 0.000
Hg1 0.000 0.000 0.000
O1 0.138 0.138 0.000
K1 0.333 0.333 0.000
O2 0.861 0.861 0.000

# 20
First-principles (PBE-GGA) data for a geometry-optimized NaHoCoTe3 structure, as listed in OQMD via LeMat-Bulk.

Output
Spin magnetization, μB per atom: 0.336
E above lowest polymorph, meV per atom: 41

Cell: 11.877 4.280 12.787 Å, 90.00 90.00 90.00°
Site moments in Bohr magnetons follow the coordinates.
Atoms (fractional coordinates):
Te1 0.944 0.000 0.131  0.07
Na1 0.793 0.500 0.011  0.00
Te2 0.903 0.500 0.573  0.03
Te3 0.210 0.500 0.185  0.08
Ho1 0.470 0.500 0.201  0.04
Co1 0.750 0.500 0.716  1.55
Te4 0.403 0.500 0.927  0.03
Te5 0.097 0.000 0.427  0.03
Te6 0.556 0.500 0.631  0.06
Co2 0.250 0.500 0.784  1.54
Na2 0.707 0.000 0.511  0.00
Co3 0.750 0.000 0.216  1.54
Co4 0.250 0.000 0.284  1.55
Te7 0.790 0.000 0.815  0.08
Te8 0.444 0.000 0.369  0.06
Te9 0.056 0.500 0.869  0.07
Te10 0.290 0.000 0.685  0.08
Na3 0.293 0.500 0.489  0.00
Te11 0.597 0.000 0.073  0.03
Te12 0.710 0.500 0.315  0.08
Ho2 0.970 0.500 0.299  0.04
Na4 0.207 0.000 0.989  0.00
Ho3 0.030 0.000 0.701  0.04
Ho4 0.530 0.000 0.799  0.04

# 21
First-principles (PBE-GGA) data for a geometry-optimized Sm2ZnCoNi structure, as listed in OQMD via LeMat-Bulk.

Output
Uncorrected energy, eV/cell: -24.931
Spin magnetization, μB per atom: 0.000

Cell: 5.425 5.425 5.425 Å, 134.72 79.40 118.70°
Atoms (fractional coordinates):
Co1 0.222 0.222 0.000
Zn1 0.495 0.995 0.500
Ni1 0.775 0.775 0.000
Sm1 0.799 0.504 0.295
Sm2 0.209 0.504 0.705

# 22
First-principles (PBE-GGA) data for a geometry-optimized SrTaN2O structure, as listed in OQMD via LeMat-Bulk.

Output
Uncorrected energy, eV/cell: -170.571
Spin magnetization, μB per atom: 0.007

Cell: 5.748 5.779 9.994 Å, 73.35 73.71 60.23°
Atoms (fractional coordinates):
Ta1 0.747 0.761 0.746
N1 0.121 0.625 0.121
N2 0.387 0.878 0.382
Sr1 0.874 0.886 0.366
N3 0.378 0.386 0.369
N4 0.883 0.372 0.377
O1 0.137 0.106 0.130
Ta2 0.242 0.261 0.251
Ta3 0.004 0.996 0.994
N5 0.864 0.891 0.872
N6 0.627 0.106 0.614
N7 0.129 0.612 0.629
Sr2 0.114 0.136 0.624
O2 0.642 0.572 0.644
N8 0.367 0.879 0.872
O3 0.627 0.127 0.125
O4 0.872 0.386 0.892
Sr3 0.372 0.380 0.875
Ta4 0.490 0.510 0.499
Sr4 0.622 0.632 0.119

# 23
First-principles (PBE-GGA) data for a geometry-optimized KTmSb structure, as listed in OQMD via LeMat-Bulk.

Output
Uncorrected energy, eV/cell: -9.582
Spin magnetization, μB per atom: 0.033

Cell: 5.284 5.284 5.284 Å, 60.00 60.00 60.00°
Atoms (fractional coordinates):
K1 0.250 0.250 0.250
Sb1 0.750 0.750 0.750
Tm1 0.000 0.000 0.000